Compound: Li2CeNiF8
Source: Alexandria via LeMat-Bulk
Functional: PBE+U
Structure: optimized geometry

Cell lengths 5.753, 5.753, 5.892 Å; angles 90.00, 90.00, 120.00 degrees
Positions (direct):
Li1 0.667 0.333 0.581
Li2 0.333 0.667 0.419
F1 0.667 0.333 0.273
F2 0.155 0.845 0.276
F3 0.845 0.155 0.724
F4 0.845 0.690 0.724
F5 0.690 0.845 0.276
F6 0.333 0.667 0.727
F7 0.155 0.310 0.276
F8 0.310 0.155 0.724
Ce1 0.000 0.000 0.000
Ni1 0.000 0.000 0.500

Computed properties:
As for the density: 3.59 g/cm3. The calculation puts the total energy at -5.05 eV/atom.